Entry 1:
Material: Y8ErTm2
Method: DFT, GGA-PBE
State: optimized geometry

POSCAR file:
```
Y8ErTm2
1.0
-4.7003 -3.2285 1.4182
-2.7629 -7.2774 -4.5620
3.2781 -8.3563 2.4227
Y Tm Er
8 2 1
direct
0.5000 0.2051 0.5898
0.2923 0.4315 0.0000
0.8182 0.0980 0.2399
0.1818 0.9020 0.7601
0.7077 0.5685 0.0000
0.5000 0.7949 0.4102
0.8182 0.3379 0.7601
0.1818 0.6621 0.2399
0.0000 0.6910 0.6180
0.0000 0.3090 0.3820
0.5000 0.0000 0.0000
```

DFT formation energy, eV per formula unit: 1.8
Calculated density, g/cm³: 5.68
E, eV/atom: -5.766



Entry 2:
Material: ErZn4Ni4
Method: DFT, GGA-PBE
State: optimized geometry

POSCAR file:
```
ErZn4Ni4
1.0
-2.2639 1.7858 3.0967
0.9906 -6.4007 4.4155
6.5479 3.0874 3.0065
Ni Zn Er
8 8 2
direct
0.9987 0.7170 0.6254
0.4987 0.8746 0.2170
0.4987 0.1254 0.7830
0.5013 0.7830 0.8746
0.5013 0.2170 0.1254
0.9987 0.2830 0.3746
0.0013 0.6254 0.2830
0.0013 0.3746 0.7170
0.5014 0.5824 0.1337
0.4986 0.8663 0.5824
0.9986 0.0824 0.6337
0.9986 0.9176 0.3664
0.4986 0.1337 0.4176
0.0014 0.3664 0.0824
0.0014 0.6337 0.9176
0.5014 0.4176 0.8663
0.0000 0.0000 0.0000
0.5000 0.5000 0.5000
```

DFT formation energy, eV per formula unit: -1.3
Calculated density, g/cm³: 8.48
E, eV/atom: -3.785



Entry 3:
Material: SrReRh2
Method: DFT, GGA-PBE
State: optimized geometry

POSCAR file:
```
SrReRh2
1.0
2.8667 0.0000 0.0000
0.0000 4.9402 0.0000
0.0000 0.0000 4.9402
Sr Rh Re
1 2 1
direct
0.5000 0.5000 0.0000
0.0000 0.0000 0.0000
0.0000 0.5000 0.5000
0.5000 0.0000 0.5000
```

Energy relative to the lowest polymorph listed for this composition, kJ/mol of atoms: 24.5
DFT formation energy, eV per formula unit: 1.6
Calculated density, g/cm³: 11.38
E, eV/atom: -6.796



Entry 4:
Material: K6Co3Br14
Method: DFT, GGA-PBE
State: optimized geometry

POSCAR file:
```
K6Co3Br14
1.0
-2.4408 6.1491 -1.6433
7.0030 0.2670 -9.4023
-10.7908 -4.5110 -0.8523
Br K Co
14 6 3
direct
0.6933 0.7920 0.5293
0.9636 0.1430 0.9276
0.2852 0.5399 0.1375
0.6933 0.7373 0.2080
0.2852 0.8625 0.4024
0.9794 0.3333 0.6667
0.4939 0.0000 0.0000
0.4506 0.5492 0.8022
0.2852 0.5976 0.4601
0.4506 0.2530 0.4508
0.9636 0.7846 0.8570
0.4506 0.1978 0.7470
0.6933 0.4707 0.2627
0.9636 0.0724 0.2154
0.2698 0.2961 0.2003
0.7420 0.5346 0.5672
0.7420 0.0326 0.4654
0.7420 0.4328 0.9674
0.2698 0.9041 0.7039
0.2698 0.7997 0.0959
0.3269 0.3333 0.6667
0.4880 0.6667 0.3333
0.8412 0.0000 0.0000
```

Calculated density, g/cm³: 3.13
E, eV/atom: -3.290



Entry 5:
Material: Sm2NiSb4Pd3
Method: DFT, GGA-PBE
State: optimized geometry

POSCAR file:
```
Sm2NiSb4Pd3
1.0
4.4884 0.0000 0.0000
0.0000 4.4884 0.0000
0.0000 0.0000 11.0136
Sm Ni Sb Pd
2 1 4 3
direct
0.0000 0.5000 0.7239
0.5000 0.0000 0.2761
0.5000 0.5000 0.5000
0.5000 0.5000 0.0000
0.0000 0.5000 0.3759
0.5000 0.0000 0.6241
0.0000 0.0000 0.0000
0.5000 0.0000 0.8593
0.0000 0.0000 0.5000
0.0000 0.5000 0.1407
```

Calculated density, g/cm³: 8.72
E, eV/atom: -5.445



Entry 6:
Material: K3Dy2YSe6
Method: DFT, GGA-PBE
State: optimized geometry

POSCAR file:
```
K3Dy2YSe6
1.0
7.2986 -0.0012 0.0004
-3.6486 6.3212 0.0004
-1.2170 -2.1072 7.6841
Dy Se K Y
2 6 3 1
direct
0.3333 0.6667 0.0000
0.6667 0.3333 0.0000
0.5979 0.9316 0.7948
0.9316 0.5979 0.7948
0.4021 0.0684 0.2052
0.2653 0.2653 0.7948
0.0684 0.4021 0.2052
0.7347 0.7347 0.2052
0.8334 0.1666 0.5000
0.5000 0.5000 0.5000
0.1666 0.8334 0.5000
0.0000 0.0000 0.0000
```

Calculated density, g/cm³: 4.71
E, eV/atom: -5.090



Entry 7:
Material: CdSn2Au2
Method: DFT, GGA-PBE
State: optimized geometry

POSCAR file:
```
CdSn2Au2
1.0
-1.8326 -2.4035 3.0779
-2.0327 -2.3160 -3.0188
3.1799 -6.5500 -0.1983
Au Sn Cd
2 2 1
direct
0.3990 0.3990 0.2019
0.6010 0.6010 0.7981
0.2500 0.7500 0.5000
0.7500 0.2500 0.5000
0.0000 0.0000 0.0000
```

Energy relative to the lowest polymorph listed for this composition, kJ/mol of atoms: 17.1
DFT formation energy, eV per formula unit: 0.2
Calculated density, g/cm³: 10.03
E, eV/atom: -3.046



Entry 8:
Material: Sm3HoCl
Method: DFT, GGA-PBE
State: optimized geometry

POSCAR file:
```
Sm3HoCl
1.0
5.3878 0.0000 0.0000
0.0000 5.3878 0.0000
0.0000 0.0000 5.3878
Sm Cl Ho
3 1 1
direct
0.5000 0.0000 0.0000
0.0000 0.0000 0.5000
0.0000 0.5000 0.0000
0.0000 0.0000 0.0000
0.5000 0.5000 0.5000
```

Calculated density, g/cm³: 6.92
E, eV/atom: -4.594